[1]
The following is a DFT calculation (PBE-GGA) of a relaxed Pa2MnHg crystal.

Properties
Calculated formation energy in eV/atom: -0.0434
E in eV per cell: -28.6
SG: P4/mmm (123)
DOS(E_F) in states/eV per cell: 4.22
Spin magnetization in μB/atom: 0.0000

Unit cell a=3.0998 b=3.0998 c=8.7425 alpha=90.00 beta=90.00 gamma=90.00
With the nearest neighbours (Å) after each atom.
Atoms (fractional coordinates):
Mn  0.5000  0.5000  0.0000  8 Pa 2.83, 4 Mn 3.10
Hg  0.5000  0.5000  0.5000  4 Hg 3.10, 8 Pa 3.39
Pa  0.0000  0.0000  0.2039  4 Mn 2.83, 4 Pa 3.10
Pa  0.0000  0.0000  0.7961  4 Mn 2.83, 4 Pa 3.10

[2]
The following is a DFT calculation (PBE-GGA) of a relaxed Sm4DyEr15 crystal.

Properties
Calculated formation energy in eV/atom: 0.0220
E in eV per cell: -91.5
SG: P4/mmm (123)
DOS(E_F) in states/eV per cell: 26.50
Spin magnetization in μB/atom: 0.0000

Unit cell a=4.9970 b=4.9970 c=24.9307 alpha=90.00 beta=90.00 gamma=90.00
With the nearest neighbours (Å) after each atom.
Atoms (fractional coordinates):
Er  0.0000  0.5000  0.9010  2 Dy 3.51, 8 Er 3.51-3.53, 2 Sm 3.54
Er  0.5000  0.0000  0.9010  2 Dy 3.51, 8 Er 3.51-3.53, 2 Sm 3.54
Er  0.5000  0.5000  0.0000  8 Er 3.51, 4 Dy 3.53
Er  0.0000  0.5000  0.2996  4 Sm 3.53, 8 Er 3.53-3.54
Er  0.5000  0.5000  0.1992  8 Er 3.53-3.54, 4 Sm 3.53
Er  0.5000  0.0000  0.7004  4 Sm 3.53, 8 Er 3.53-3.54
Er  0.5000  0.0000  0.0990  8 Er 3.51-3.53, 2 Dy 3.51, 2 Sm 3.54
Er  0.5000  0.5000  0.8008  8 Er 3.53-3.54, 4 Sm 3.53
Er  0.0000  0.5000  0.5000  8 Er 3.53, 4 Sm 3.53
Er  0.5000  0.5000  0.3998  8 Er 3.53, 4 Sm 3.53
Er  0.0000  0.5000  0.7004  4 Sm 3.53, 8 Er 3.53-3.54
Er  0.5000  0.5000  0.6002  8 Er 3.53, 4 Sm 3.53
Er  0.5000  0.0000  0.2996  4 Sm 3.53, 8 Er 3.53-3.54
Er  0.0000  0.5000  0.0990  2 Dy 3.51, 8 Er 3.51-3.53, 2 Sm 3.54
Er  0.5000  0.0000  0.5000  8 Er 3.53, 4 Sm 3.53
Sm  0.0000  0.0000  0.3998  12 Er 3.53
Sm  0.0000  0.0000  0.8005  12 Er 3.53-3.54
Sm  0.0000  0.0000  0.1995  12 Er 3.53-3.54
Sm  0.0000  0.0000  0.6002  12 Er 3.53
Dy  0.0000  0.0000  0.0000  12 Er 3.51-3.53

[3]
The following is a DFT calculation (PBE-GGA) of a relaxed AlPbW2 crystal.

Properties
Calculated formation energy in eV/atom: 0.7457
E in eV per cell: -30.4
SG: Cmmm (65)
DOS(E_F) in states/eV per cell: 3.51
Spin magnetization in μB/atom: 0.0000

Unit cell a=2.8786 b=2.8786 c=9.1961 alpha=90.00 beta=90.00 gamma=107.62
With the nearest neighbours (Å) after each atom.
Atoms (fractional coordinates):
Pb  0.5000  0.5000  0.7500  4 Pb 2.88, 4 W 3.04
W  0.0000  0.0000  0.0244  2 Al 2.68, 4 W 2.88
W  0.0000  0.0000  0.4756  2 Al 2.68, 4 W 2.88
Al  0.5000  0.5000  0.2500  4 W 2.68, 4 Al 2.88

[4]
The following is a DFT calculation (PBE-GGA) of a relaxed TbAl4Ni crystal.

Properties
Calculated formation energy in eV/atom: -0.3065
E in eV per cell: -54.4
SG: Cmcm (63)
DOS(E_F) in states/eV per cell: 4.83
Spin magnetization in μB/atom: 0.0000

Unit cell a=4.4181 b=5.8407 c=8.9374 alpha=90.00 beta=104.31 gamma=90.00
With the nearest neighbours (Å) after each atom.
Atoms (fractional coordinates):
Al  0.7941  0.9890  0.5882  1 Ni 2.37
Al  0.2059  0.4890  0.4118  1 Ni 2.37
Al  0.0000  0.0000  0.0000  2 Ni 2.28
Al  0.3507  0.2500  0.7014  2 Ni 2.36
Al  0.7941  0.5110  0.5882  1 Ni 2.37
Al  0.2059  0.0110  0.4118  1 Ni 2.37
Al  0.6493  0.7500  0.2986  2 Ni 2.36
Al  0.0000  0.5000  0.0000  2 Ni 2.28
Ni  0.8987  0.2500  0.7975  6 Al 2.28-2.37
Ni  0.1013  0.7500  0.2025  6 Al 2.28-2.37
Tb  0.6036  0.2500  0.2071  10 Al 3.03-3.20
Tb  0.3964  0.7500  0.7929  10 Al 3.03-3.20